Entry 1:
Compound: BaReSeN2
Source: Alexandria via LeMat-Bulk
Functional: PBE-GGA
Structure: optimized geometry

a b c (Å): 4.116 4.116 5.288
angles (deg): 90.00 90.00 90.00
Positions (direct):
Ba 0.000 0.000 0.000
Re 0.500 0.500 0.500
Se 0.500 0.500 0.000
N 0.000 0.500 0.500
N 0.500 0.000 0.500

Properties
* magnetic moment: 0.18 μB/cell
* formation energy (no corrections): -0.12 eV/atom
* energy: -7.02 eV per atom
* theoretical density: 7.98 g cm⁻³



Entry 2:
Compound: BeCr2Os
Source: Alexandria via LeMat-Bulk
Functional: PBE-GGA
Structure: optimized geometry

a b c (Å): 3.844 2.942 4.143
angles (deg): 90.00 90.09 90.00
Positions (direct):
Be 0.000 0.000 0.000
Cr 0.000 0.500 0.500
Cr 0.500 0.000 0.500
Os 0.500 0.500 0.000

Properties
* magnetic moment: 1.04 μB/cell
* energy: -8.53 eV per atom
* calculated formation energy: 18.5 meV/atom
* theoretical density: 10.74 g cm⁻³



Entry 3:
Compound: AcPm2Ag
Source: Alexandria via LeMat-Bulk
Functional: PBE-GGA
Structure: optimized geometry

a b c (Å): 10.990 10.990 10.990
angles (deg): 19.87 19.87 19.87
Positions (direct):
Ac 0.000 0.000 0.000
Pm 0.237 0.237 0.237
Pm 0.763 0.763 0.763
Ag 0.500 0.500 0.500

Properties
* magnetic moment: 0.00 μB/cell
* energy: -4.10 eV per atom
* calculated formation energy: 13.9 meV/atom
* theoretical density: 7.74 g cm⁻³



Entry 4:
Compound: ErGeO
Source: Alexandria via LeMat-Bulk
Functional: PBE-GGA
Structure: optimized geometry

a b c (Å): 6.374 6.374 6.768
angles (deg): 108.04 108.04 99.80
Positions (direct):
Er 0.054 0.946 0.500
Er 0.427 0.889 0.096
Er 0.889 0.427 0.596
Er 0.946 0.054 0.000
Ge 0.323 0.496 0.283
Ge 0.496 0.323 0.783
Ge 0.516 0.660 0.691
Ge 0.660 0.516 0.191
O 0.090 0.797 0.781
O 0.192 0.967 0.246
O 0.797 0.090 0.281
O 0.967 0.192 0.746

Properties
* magnetic moment: 0.00 μB/cell
* formation energy (no corrections): -1.90 eV/atom
* energy: -6.61 eV per atom
* theoretical density: 7.15 g cm⁻³



Entry 5:
Compound: LiIr3F
Source: Alexandria via LeMat-Bulk
Functional: PBE-GGA
Structure: optimized geometry

a b c (Å): 4.176 4.176 4.176
angles (deg): 90.00 90.00 90.00
Positions (direct):
Li 0.000 0.000 0.000
Ir 0.000 0.000 0.500
Ir 0.000 0.500 0.000
Ir 0.500 0.000 0.000
F 0.500 0.500 0.500

Properties
* magnetic moment: 2.69 μB/cell
* formation energy (no corrections): 1.44 eV/atom
* energy: -4.63 eV per atom
* theoretical density: 13.74 g cm⁻³



Entry 6:
Compound: PmGaTe2
Source: Alexandria via LeMat-Bulk
Functional: PBE-GGA
Structure: optimized geometry

a b c (Å): 4.498 4.498 7.710
angles (deg): 90.00 90.00 120.00
Positions (direct):
Pm 0.000 0.000 0.000
Ga 0.000 0.000 0.500
Te 0.333 0.667 0.762
Te 0.667 0.333 0.238

Properties
* magnetic moment: 0.00 μB/cell
* formation energy (no corrections): -0.91 eV/atom
* energy: -4.43 eV per atom
* theoretical density: 5.77 g cm⁻³



Entry 7:
Compound: Ca3Al3Cu2
Source: Alexandria via LeMat-Bulk
Functional: PBE-GGA
Structure: optimized geometry

a b c (Å): 8.017 15.322 5.825
angles (deg): 90.00 90.00 90.00
Positions (direct):
Ca 0.036 0.110 0.115
Ca 0.036 0.390 0.115
Ca 0.185 0.250 0.613
Ca 0.315 0.750 0.113
Ca 0.464 0.610 0.615
Ca 0.464 0.890 0.615
Ca 0.536 0.110 0.385
Ca 0.536 0.390 0.385
Ca 0.685 0.250 0.887
Ca 0.815 0.750 0.387
Ca 0.964 0.610 0.885
Ca 0.964 0.890 0.885
Al 0.164 0.750 0.597
Al 0.174 0.036 0.611
Al 0.174 0.464 0.611
Al 0.326 0.536 0.111
Al 0.326 0.964 0.111
Al 0.336 0.250 0.097
Al 0.664 0.750 0.903
Al 0.674 0.036 0.889
Al 0.674 0.464 0.889
Al 0.826 0.536 0.389
Al 0.826 0.964 0.389
Al 0.836 0.250 0.403
Cu 0.114 0.604 0.386
Cu 0.114 0.896 0.386
Cu 0.386 0.104 0.886
Cu 0.386 0.396 0.886
Cu 0.614 0.604 0.114
Cu 0.614 0.896 0.114
Cu 0.886 0.104 0.614
Cu 0.886 0.396 0.614

Properties
* magnetic moment: 0.00 μB/cell
* energy: -3.41 eV per atom
* calculated formation energy: -229.5 meV/atom
* theoretical density: 3.05 g cm⁻³



Entry 8:
Compound: Ni2OsBr
Source: Alexandria via LeMat-Bulk
Functional: PBE-GGA
Structure: optimized geometry

a b c (Å): 5.958 5.958 5.958
angles (deg): 119.41 119.41 91.02
Positions (direct):
Ni 0.106 0.625 0.981
Ni 0.375 0.356 0.481
Ni 0.644 0.125 0.019
Ni 0.875 0.894 0.519
Os 0.000 0.000 0.000
Os 0.750 0.250 0.500
Br 0.250 0.750 0.500
Br 0.500 0.500 0.000

Properties
* magnetic moment: 0.00 μB/cell
* formation energy (no corrections): 1.04 eV/atom
* energy: -5.07 eV per atom
* theoretical density: 8.53 g cm⁻³



Entry 9:
Compound: Mo2Ru
Source: Alexandria via LeMat-Bulk
Functional: PBE-GGA
Structure: optimized geometry

a b c (Å): 6.370 6.370 6.370
angles (deg): 155.05 155.05 35.57
Positions (direct):
Mo 0.158 0.158 0.000
Mo 0.842 0.842 0.000
Ru 0.500 0.500 0.000

Properties
* magnetic moment: 0.00 μB/cell
* energy: -10.22 eV per atom
* calculated formation energy: 97.3 meV/atom
* theoretical density: 10.59 g cm⁻³



Entry 10:
Compound: MgZrCo2
Source: Alexandria via LeMat-Bulk
Functional: PBE-GGA
Structure: optimized geometry

a b c (Å): 3.700 5.050 5.050
angles (deg): 42.82 90.00 90.00
Positions (direct):
Mg 0.000 0.000 0.000
Zr 0.500 0.705 0.705
Co 0.000 0.286 0.286
Co 0.500 0.420 0.420

Properties
* magnetic moment: 0.00 μB/cell
* energy: -6.16 eV per atom
* calculated formation energy: -67.0 meV/atom
* theoretical density: 6.04 g cm⁻³



Entry 11:
Compound: ZrZnTe2O8
Source: Alexandria via LeMat-Bulk
Functional: PBE-GGA
Structure: optimized geometry

a b c (Å): 5.998 5.998 5.998
angles (deg): 108.84 108.84 110.74
Positions (direct):
Zr 0.000 0.000 0.000
Zn 0.250 0.750 0.500
Te 0.500 0.500 0.000
Te 0.750 0.250 0.500
O 0.290 0.100 0.810
O 0.290 0.480 0.190
O 0.351 0.049 0.302
O 0.520 0.710 0.810
O 0.746 0.049 0.698
O 0.900 0.710 0.190
O 0.951 0.254 0.302
O 0.951 0.649 0.698

Properties
* magnetic moment: 0.00 μB/cell
* formation energy (no corrections): -1.34 eV/atom
* energy: -5.98 eV per atom
* theoretical density: 5.40 g cm⁻³